Entry 1:
An optimized crystal structure of Cs3MgBe. Source: the Alexandria database, functional GGA-PBE.

Unit cell a=7.026 b=7.026 c=7.026 alpha=90.00 beta=90.00 gamma=90.00
Space group Pm-3m (No. 221)
Inequivalent atoms, fractional coordinates:
1 Cs 0.000 0.000 0.500 x3
2 Mg 0.500 0.500 0.500 x1
3 Be 0.000 0.000 0.000 x1

Values from the calculation:
DOS(E_F) ... 0.92 states/eV/atom
Energy relative to the lowest polymorph listed for this composition ... 0.0000 eV per atom

***

Entry 2:
An optimized crystal structure of Cs2MgBeP2. Source: the Alexandria database, functional GGA-PBE.

Unit cell a=6.003 b=19.826 c=6.020 alpha=90.00 beta=90.00 gamma=90.00
Space group Ibam (No. 72)
Inequivalent atoms, fractional coordinates:
1 Cs 0.247 0.153 0.000 x8
2 Mg 0.000 0.000 0.250 x4
3 Be 0.000 0.500 0.250 x4
4 P 0.215 0.437 0.000 x8

***

Entry 3:
An optimized crystal structure of CsSr2MgBe. Source: the Alexandria database, functional GGA-PBE.

Unit cell a=6.483 b=6.483 c=5.061 alpha=90.00 beta=90.00 gamma=90.00
Space group P4/mmm (No. 123)
Inequivalent atoms, fractional coordinates:
1 Cs 0.000 0.000 0.000 x1
2 Sr 0.000 0.500 0.000 x2
3 Mg 0.500 0.500 0.500 x1
4 Be 0.000 0.000 0.500 x1

Values from the calculation:
DOS(E_F) ... 0.80 states/eV/atom

***

Entry 4:
An optimized crystal structure of CsYMgBe2. Source: the Alexandria database, functional GGA-PBE.

Unit cell a=5.561 b=5.561 c=6.255 alpha=90.00 beta=90.00 gamma=90.00
Space group P4/mmm (No. 123)
Inequivalent atoms, fractional coordinates:
1 Cs 0.000 0.000 0.000 x1
2 Y 0.500 0.500 0.500 x1
3 Mg 0.500 0.500 0.000 x1
4 Be 0.000 0.500 0.500 x2

Values from the calculation:
DOS(E_F) ... 1.44 states/eV/atom

***

Entry 5:
An optimized crystal structure of CsMn3Be. Source: the Alexandria database, functional GGA-PBE.

Unit cell a=4.993 b=4.993 c=4.993 alpha=90.00 beta=90.00 gamma=90.00
Space group Pm-3m (No. 221)
Inequivalent atoms, fractional coordinates:
1 Cs 0.000 0.000 0.000 x1
2 Mn 0.000 0.000 0.500 x3
3 Be 0.500 0.500 0.500 x1

Values from the calculation:
DOS(E_F) ... 1.25 states/eV/atom
Energy relative to the lowest polymorph listed for this composition ... 1.5944 eV per atom

***

Entry 6:
An optimized crystal structure of Cs2MnBe. Source: the Alexandria database, functional GGA-PBE.

Unit cell a=5.072 b=5.072 c=24.768 alpha=90.00 beta=90.00 gamma=90.00
Space group I-42d (No. 122)
Inequivalent atoms, fractional coordinates:
1 Cs 0.247 0.250 0.125 x8
2 Mn 0.000 0.000 0.500 x4
3 Be 0.000 0.000 0.000 x4

Values from the calculation:
DOS(E_F) ... 1.07 states/eV/atom

***

Entry 7:
An optimized crystal structure of CsMnBe3. Source: the Alexandria database, functional GGA-PBE.

Unit cell a=5.104 b=5.104 c=5.104 alpha=90.00 beta=90.00 gamma=90.00
Space group Pm-3m (No. 221)
Inequivalent atoms, fractional coordinates:
1 Cs 0.000 0.000 0.000 x1
2 Mn 0.500 0.500 0.500 x1
3 Be 0.000 0.000 0.500 x3

Values from the calculation:
DOS(E_F) ... 0.78 states/eV/atom

***

Entry 8:
An optimized crystal structure of CsMn3Be. Source: the Alexandria database, functional GGA-PBE.

Unit cell a=4.773 b=4.773 c=4.773 alpha=90.00 beta=90.00 gamma=90.00
Space group Pm-3m (No. 221)
Inequivalent atoms, fractional coordinates:
1 Cs 0.000 0.000 0.000 x1
2 Mn 0.000 0.500 0.500 x3
3 Be 0.500 0.500 0.500 x1

Values from the calculation:
DOS(E_F) ... 1.04 states/eV/atom
Energy relative to the lowest polymorph listed for this composition ... 0.0000 eV per atom

***

Number 1: formation energy 0.69 eV per atom, M_tot 0.000 μB per formula unit. Number 2: formation energy -0.44 eV per atom, M_tot 0.000 μB per formula unit. Number 3: formation energy 1.22 eV per atom, M_tot 0.000 μB per formula unit. Number 4: formation energy 1.19 eV per atom, M_tot 0.002 μB per formula unit. Number 5: formation energy 2.71 eV per atom, M_tot 10.358 μB per formula unit. Number 6: formation energy 1.45 eV per atom, M_tot 3.918 μB per formula unit. Number 7: formation energy 2.68 eV per atom, M_tot 4.148 μB per formula unit. Number 8: formation energy 1.11 eV per atom, M_tot 12.293 μB per formula unit.